[1]
PaTcPtRh | PBE | relaxed

Cell: 3.9524 4.1103 4.2274 Å, 90.00 90.00 90.00°
Space group Pmmm (No. 47)
Inequivalent atoms, fractional coordinates:
1 Pa 0.0000 0.0000 0.0000
2 Tc 0.5000 0.5000 0.0000
3 Pt 0.0000 0.5000 0.5000
4 Rh 0.5000 0.0000 0.5000

Computed properties:
For the total DFT energy (no corrections), the calculation gives -36.06 eV/cell.


[2]
Ba2Sr6IrRh | PBE | relaxed

Cell: 8.5291 8.5291 12.0648 Å, 90.00 90.00 90.00°
Space group I4mm (No. 107)
Inequivalent atoms, fractional coordinates:
1 Ba 0.0000 0.5000 0.0000
2 Sr 0.0000 0.0000 0.0019
3 Sr 0.0000 0.0000 0.4990
4 Sr 0.2485 0.2485 0.2503
5 Ir 0.0000 0.0000 0.2505
6 Rh 0.0000 0.0000 0.7505

Computed properties:
For the total DFT energy (no corrections), the calculation gives -62.60 eV/cell.


[3]
Pm12Ni6H | PBE | relaxed

Cell: 11.9423 11.9423 12.1169 Å, 90.00 90.00 120.00°
Space group R-3 (No. 148, hexagonal axes)
Inequivalent atoms, fractional coordinates:
1 Pm 0.0179 0.8197 0.3877
2 Pm 0.0262 0.8333 0.8790
3 Ni 0.0445 0.7696 0.6585
4 H 0.0000 0.0000 0.0000

Computed properties:
For the total DFT energy (no corrections), the calculation gives -293.32 eV/cell.


[4]
UBeRhO6 | PBE | relaxed

Cell: 4.9404 4.9404 9.2039 Å, 90.00 90.00 120.00°
Space group P-31c (No. 163)
Inequivalent atoms, fractional coordinates:
1 U 0.0000 0.0000 0.0000
2 Be 0.3333 0.6667 0.2500
3 Rh 0.3333 0.6667 0.7500
4 O 0.0206 0.3546 0.1360

Computed properties:
The value obtained for the formation energy without anion corrections is -193.6 kJ/mol of atoms.